(1)
{"formula": "KAs2Br2", "functional": "PBE-GGA", "state": "optimized geometry", "lattice_angstrom": [[9.1870, 0.0000, 0.0000], [0.0000, 9.1870, 0.0000], [0.0000, 0.0000, 3.4307]], "species": ["K", "K", "As", "As", "As", "As", "Br", "Br", "Br", "Br"], "fractional_positions": [[0.0000, 0.0000, 0.0000], [0.5000, 0.5000, 0.0000], [0.2212, 0.2788, 0.5000], [0.2788, 0.7788, 0.5000], [0.7212, 0.2212, 0.5000], [0.7788, 0.7212, 0.5000], [0.1252, 0.6252, 0.0000], [0.3748, 0.1252, 0.0000], [0.6252, 0.8748, 0.0000], [0.8748, 0.3748, 0.0000]], "crystal_system": "tetragonal", "dos_ef_per_ev_atom": 0.236, "formation_energy_uncorrected_ev_per_atom": 0.119, "sg": "P4/mbm (127)"}



(2)
{"formula": "KAs2Br", "functional": "PBE-GGA", "state": "optimized geometry", "lattice_angstrom": [[4.0651, 0.0000, 0.0000], [0.0000, 4.0651, 0.0000], [0.0000, 0.0000, 8.0483]], "species": ["K", "As", "As", "Br"], "fractional_positions": [[0.0000, 0.0000, 0.0000], [0.0000, 0.5000, 0.5000], [0.5000, 0.0000, 0.5000], [0.5000, 0.5000, 0.0000]], "crystal_system": "tetragonal", "dos_ef_per_ev_atom": 0.405, "formation_energy_uncorrected_ev_per_atom": -0.234, "sg": "P4/mmm (123)"}



(3)
{"formula": "K2AsBr", "functional": "PBE-GGA", "state": "optimized geometry", "lattice_angstrom": [[6.3971, -1.8074, 0.0000], [6.3971, 1.8074, 0.0000], [-0.0043, 0.0000, 5.8337]], "species": ["K", "K", "As", "Br"], "fractional_positions": [[0.0000, 0.0000, 0.0000], [0.2328, 0.2328, 0.5009], [0.7381, 0.7381, 0.0010], [0.5023, 0.5023, 0.5002]], "crystal_system": "monoclinic", "dos_ef_per_ev_atom": 0.485, "formation_energy_uncorrected_ev_per_atom": -0.650, "sg": "Cm (8)"}



(4)
{"formula": "KAsBr2", "functional": "PBE-GGA", "state": "optimized geometry", "lattice_angstrom": [[4.9975, 0.0000, 0.0000], [0.0000, 3.9845, 0.0000], [-2.0995, 0.0000, 6.5786]], "species": ["K", "As", "Br", "Br"], "fractional_positions": [[0.0000, 0.0000, 0.0000], [0.0000, 0.0000, 0.5000], [0.3330, 0.5000, 0.7251], [0.6670, 0.5000, 0.2749]], "crystal_system": "monoclinic", "dos_ef_per_ev_atom": 0.166, "formation_energy_uncorrected_ev_per_atom": -0.571, "sg": "P2/m (10)"}



(5)
{"formula": "K3AsBr8", "functional": "PBE-GGA", "state": "optimized geometry", "lattice_angstrom": [[-3.6873, 3.6873, 7.8296], [3.6873, -3.6873, 7.8296], [3.6873, 3.6873, -7.8296]], "species": ["K", "K", "K", "As", "Br", "Br", "Br", "Br", "Br", "Br", "Br", "Br"], "fractional_positions": [[0.0000, 0.0000, 0.0000], [0.2500, 0.7500, 0.5000], [0.7500, 0.2500, 0.5000], [0.5000, 0.5000, 0.0000], [0.1654, 0.1654, 0.5520], [0.1654, 0.6135, 0.0000], [0.3865, 0.3865, 0.5520], [0.3865, 0.8346, 0.0000], [0.6135, 0.1654, 0.0000], [0.6135, 0.6135, 0.4480], [0.8346, 0.3865, 0.0000], [0.8346, 0.8346, 0.4480]], "crystal_system": "tetragonal", "dos_ef_per_ev_atom": 1.203, "formation_energy_uncorrected_ev_per_atom": -0.762, "sg": "I4/mmm (139)"}



(6)
{"formula": "KAs2Br", "functional": "PBE-GGA", "state": "optimized geometry", "lattice_angstrom": [[1.9494, -2.8086, 0.0000], [1.9494, 2.8086, 0.0000], [0.0000, 0.0000, 9.4255]], "species": ["K", "As", "As", "Br"], "fractional_positions": [[0.0000, 0.0000, 0.0000], [0.5000, 0.5000, 0.2823], [0.5000, 0.5000, 0.7177], [0.0000, 0.0000, 0.5000]], "crystal_system": "orthorhombic", "dos_ef_per_ev_atom": 0.386, "formation_energy_uncorrected_ev_per_atom": 0.398, "sg": "Cmmm (65)"}



(7)
{"formula": "K2AsBr2", "functional": "PBE-GGA", "state": "optimized geometry", "lattice_angstrom": [[-3.2268, 3.2268, 4.6229], [3.2268, -3.2268, 4.6229], [3.2268, 3.2268, -4.6229]], "species": ["K", "K", "As", "Br", "Br"], "fractional_positions": [[0.2500, 0.7500, 0.5000], [0.7500, 0.2500, 0.5000], [0.0000, 0.0000, 0.0000], [0.2964, 0.2964, 0.0000], [0.7036, 0.7036, 0.0000]], "crystal_system": "tetragonal", "dos_ef_per_ev_atom": 1.017, "formation_energy_uncorrected_ev_per_atom": -0.818, "sg": "I4/mmm (139)"}



(8)
{"formula": "KAs2Br", "functional": "PBE-GGA", "state": "optimized geometry", "lattice_angstrom": [[3.1638, 0.0000, 0.0000], [0.0000, 6.1545, 0.0000], [0.0000, 0.0000, 6.3489]], "species": ["K", "As", "As", "Br"], "fractional_positions": [[0.0000, 0.0000, 0.0000], [0.5000, 0.1858, 0.5000], [0.5000, 0.8142, 0.5000], [0.0000, 0.5000, 0.0000]], "crystal_system": "orthorhombic", "dos_ef_per_ev_atom": 0.323, "formation_energy_uncorrected_ev_per_atom": -0.192, "sg": "Pmmm (47)"}



(9)
{"formula": "K2AsBr", "functional": "PBE-GGA", "state": "optimized geometry", "lattice_angstrom": [[3.5406, -2.0214, 0.0000], [3.5406, 2.0214, 0.0000], [-2.2998, 0.0000, 9.5699]], "species": ["K", "K", "As", "Br"], "fractional_positions": [[0.2431, 0.2431, 0.2288], [0.7569, 0.7569, 0.7712], [0.0000, 0.0000, 0.5000], [0.5000, 0.5000, 0.0000]], "crystal_system": "monoclinic", "dos_ef_per_ev_atom": 0.728, "formation_energy_uncorrected_ev_per_atom": -0.677, "sg": "C2/m (12)"}



(10)
{"formula": "KAsBr4", "functional": "PBE-GGA", "state": "optimized geometry", "lattice_angstrom": [[4.6934, -7.8962, 0.0000], [4.6934, 7.8962, 0.0000], [-3.9240, 0.0000, 5.9185]], "species": ["K", "K", "As", "As", "Br", "Br", "Br", "Br", "Br", "Br", "Br", "Br"], "fractional_positions": [[0.0994, 0.9006, 0.7500], [0.9006, 0.0994, 0.2500], [0.4188, 0.5812, 0.2500], [0.5812, 0.4188, 0.7500], [0.1456, 0.5240, 0.2957], [0.2209, 0.3311, 0.8025], [0.3311, 0.2209, 0.3025], [0.4760, 0.8544, 0.2043], [0.5240, 0.1456, 0.7957], [0.6689, 0.7791, 0.6975], [0.7791, 0.6689, 0.1975], [0.8544, 0.4760, 0.7043]], "crystal_system": "monoclinic", "dos_ef_per_ev_atom": 0.000, "formation_energy_uncorrected_ev_per_atom": -0.859, "sg": "C2/c (15)"}



(11)
{"formula": "K4AsBr", "functional": "PBE-GGA", "state": "optimized geometry", "lattice_angstrom": [[0.0000, 4.8019, 4.8019], [4.8019, 0.0000, 4.8019], [4.8019, 4.8019, 0.0000]], "species": ["K", "K", "K", "K", "As", "Br"], "fractional_positions": [[0.1251, 0.1251, 0.1251], [0.1251, 0.1251, 0.6247], [0.1251, 0.6247, 0.1251], [0.6247, 0.1251, 0.1251], [0.7500, 0.7500, 0.7500], [0.5000, 0.5000, 0.5000]], "crystal_system": "cubic", "dos_ef_per_ev_atom": 1.204, "formation_energy_uncorrected_ev_per_atom": -0.102, "sg": "F-43m (216)"}



(12)
{"formula": "K3AsBr6", "functional": "PBE-GGA", "state": "optimized geometry", "lattice_angstrom": [[0.0000, 5.7636, 5.7636], [5.7636, 0.0000, 5.7636], [5.7636, 5.7636, 0.0000]], "species": ["K", "K", "K", "As", "Br", "Br", "Br", "Br", "Br", "Br"], "fractional_positions": [[0.0000, 0.0000, 0.0000], [0.2500, 0.2500, 0.2500], [0.7500, 0.7500, 0.7500], [0.5000, 0.5000, 0.5000], [0.2697, 0.2697, 0.7303], [0.2697, 0.7303, 0.2697], [0.2697, 0.7303, 0.7303], [0.7303, 0.2697, 0.2697], [0.7303, 0.2697, 0.7303], [0.7303, 0.7303, 0.2697]], "crystal_system": "cubic", "dos_ef_per_ev_atom": 0.000, "formation_energy_uncorrected_ev_per_atom": -1.153, "sg": "Fm-3m (225)"}



(13)
{"formula": "KAsBr2", "functional": "PBE-GGA", "state": "optimized geometry", "lattice_angstrom": [[0.0000, 3.9533, 3.9533], [3.9533, 0.0000, 3.9533], [3.9533, 3.9533, 0.0000]], "species": ["K", "As", "Br", "Br"], "fractional_positions": [[0.0000, 0.0000, 0.0000], [0.7500, 0.7500, 0.7500], [0.2500, 0.2500, 0.2500], [0.5000, 0.5000, 0.5000]], "crystal_system": "cubic", "dos_ef_per_ev_atom": 1.431, "formation_energy_uncorrected_ev_per_atom": -0.025, "sg": "F-43m (216)"}



(14)
{"formula": "KAsBr2", "functional": "PBE-GGA", "state": "optimized geometry", "lattice_angstrom": [[-2.0156, 2.1317, 7.5089], [2.0156, -2.1317, 7.5089], [2.0156, 2.1317, -7.5089]], "species": ["K", "As", "Br", "Br"], "fractional_positions": [[0.0000, 0.0000, 0.0000], [0.2223, 0.7223, 0.5000], [0.4212, 0.4212, 0.0000], [0.7046, 0.2046, 0.5000]], "crystal_system": "orthorhombic", "dos_ef_per_ev_atom": 0.413, "formation_energy_uncorrected_ev_per_atom": -0.451, "sg": "Imm2 (44)"}



(15)
{"formula": "K2AsBr", "functional": "PBE-GGA", "state": "optimized geometry", "lattice_angstrom": [[0.0000, 4.0976, 4.0976], [4.0976, 0.0000, 4.0976], [4.0976, 4.0976, 0.0000]], "species": ["K", "K", "As", "Br"], "fractional_positions": [[0.2500, 0.2500, 0.2500], [0.7500, 0.7500, 0.7500], [0.0000, 0.0000, 0.0000], [0.5000, 0.5000, 0.5000]], "crystal_system": "cubic", "dos_ef_per_ev_atom": 1.577, "formation_energy_uncorrected_ev_per_atom": -0.571, "sg": "Fm-3m (225)"}



(16)
{"formula": "KAs2Br", "functional": "PBE-GGA", "state": "optimized geometry", "lattice_angstrom": [[5.1997, 0.0000, 0.0000], [0.0000, 3.7101, 0.0000], [-1.0836, 0.0000, 7.0232]], "species": ["K", "As", "As", "Br"], "fractional_positions": [[0.0000, 0.0000, 0.0000], [0.0350, 0.0000, 0.5031], [0.3438, 0.5000, 0.5532], [0.4932, 0.5000, 0.9747]], "crystal_system": "monoclinic", "dos_ef_per_ev_atom": 0.183, "formation_energy_uncorrected_ev_per_atom": -0.543, "sg": "Pm (6)"}



(17)
{"formula": "K2AsBr", "functional": "PBE-GGA", "state": "optimized geometry", "lattice_angstrom": [[3.6863, 0.0000, 0.0000], [0.0000, 3.6863, 0.0000], [0.0000, 0.0000, 9.0601]], "species": ["K", "K", "As", "Br"], "fractional_positions": [[0.0000, 0.0000, 0.2283], [0.0000, 0.0000, 0.7717], [0.5000, 0.5000, 0.5000], [0.5000, 0.5000, 0.0000]], "crystal_system": "tetragonal", "dos_ef_per_ev_atom": 0.585, "formation_energy_uncorrected_ev_per_atom": -0.763, "sg": "P4/mmm (123)"}



(18)
{"formula": "K3As2Br9", "functional": "PBE-GGA", "state": "optimized geometry", "lattice_angstrom": [[7.5776, 0.0000, 0.0000], [-3.7888, 6.5624, 0.0000], [0.0000, 0.0000, 19.2637]], "species": ["K", "K", "K", "K", "K", "K", "As", "As", "As", "As", "Br", "Br", "Br", "Br", "Br", "Br", "Br", "Br", "Br", "Br", "Br", "Br", "Br", "Br", "Br", "Br", "Br", "Br"], "fractional_positions": [[0.0000, 0.0000, 0.2500], [0.0000, 0.0000, 0.7500], [0.3333, 0.6667, 0.0709], [0.3333, 0.6667, 0.4291], [0.6667, 0.3333, 0.5709], [0.6667, 0.3333, 0.9291], [0.3333, 0.6667, 0.6565], [0.3333, 0.6667, 0.8435], [0.6667, 0.3333, 0.1565], [0.6667, 0.3333, 0.3435], [0.0011, 0.5006, 0.2500], [0.1708, 0.3416, 0.5846], [0.1708, 0.3416, 0.9154], [0.1708, 0.8292, 0.5846], [0.1708, 0.8292, 0.9154], [0.3416, 0.1708, 0.0846], [0.3416, 0.1708, 0.4154], [0.4994, 0.5006, 0.2500], [0.4994, 0.9989, 0.2500], [0.5006, 0.0011, 0.7500], [0.5006, 0.4994, 0.7500], [0.6584, 0.8292, 0.5846], [0.6584, 0.8292, 0.9154], [0.8292, 0.1708, 0.0846], [0.8292, 0.1708, 0.4154], [0.8292, 0.6584, 0.0846], [0.8292, 0.6584, 0.4154], [0.9989, 0.4994, 0.7500]], "crystal_system": "hexagonal", "dos_ef_per_ev_atom": 0.000, "formation_energy_uncorrected_ev_per_atom": -1.005, "sg": "P6_3/mmc (194)"}



(19)
{"formula": "KAs2Br", "functional": "PBE-GGA", "state": "optimized geometry", "lattice_angstrom": [[-5.0725, 5.0725, 2.7016], [5.0725, -5.0725, 2.7016], [5.0725, 5.0725, -2.7016]], "species": ["K", "K", "As", "As", "As", "As", "Br", "Br"], "fractional_positions": [[0.0000, 0.0000, 0.0000], [0.7500, 0.2500, 0.5000], [0.1400, 0.6250, 0.0150], [0.3750, 0.3900, 0.5150], [0.6100, 0.1250, 0.9850], [0.8750, 0.8600, 0.4850], [0.2500, 0.7500, 0.5000], [0.5000, 0.5000, 0.0000]], "crystal_system": "tetragonal", "dos_ef_per_ev_atom": 0.069, "formation_energy_uncorrected_ev_per_atom": 0.136, "sg": "I-42d (122)"}



(20)
{"formula": "K4AsBr", "functional": "PBE-GGA", "state": "optimized geometry", "lattice_angstrom": [[5.6246, -7.9734, 0.0000], [5.6246, 7.9734, 0.0000], [-5.6232, 0.0000, 5.6291]], "species": ["K", "K", "K", "K", "K", "K", "K", "K", "As", "As", "Br", "Br"], "fractional_positions": [[0.0015, 0.5007, 0.7720], [0.2286, 0.2294, 0.2291], [0.2294, 0.2286, 0.7291], [0.4993, 0.9985, 0.7280], [0.5007, 0.0015, 0.2720], [0.7706, 0.7714, 0.2709], [0.7714, 0.7706, 0.7709], [0.9985, 0.4993, 0.2280], [0.1250, 0.8750, 0.2500], [0.8750, 0.1250, 0.7500], [0.3751, 0.6249, 0.7500], [0.6249, 0.3751, 0.2500]], "crystal_system": "monoclinic", "dos_ef_per_ev_atom": 0.513, "formation_energy_uncorrected_ev_per_atom": -0.793, "sg": "C2/c (15)"}